Y2PW: optimized geometry, PBE-GGA.

Calculated values
- Calculated volume: 22.2 Å³ per atom
- Energy of formation from the pure elements: -0.90 eV per formula unit
- Magnetic moment: 0.000 μB/f.u.

abc: 3.311 3.311 8.085
angles: 90.00 90.00 90.00
Atoms (fractional coordinates):
W  0.500  0.500  0.682
P  0.000  0.000  0.557
Y  0.000  0.000  0.939
Y  0.500  0.500  0.321